# AgPt3

AgPt3 after structural relaxation (PBEsol, Alexandria).

a b c (Å): 5.5366 7.9812 2.7519
angles (deg): 90.00 90.00 90.00
Last column: nearest neighbours and their distance in Å.
Space group Cmmm (No. 65)
Symmetry-distinct sites (fractional):
Ag 0.0000 0.0000 0.0000  2 Ag 2.75, 10 Pt 2.77-2.79
Pt 0.0000 0.5000 0.0000  10 Pt 2.75-2.79, 2 Ag 2.77
Pt 0.2500 0.2500 0.5000  8 Pt 2.75-2.79, 4 Ag 2.79

Computed properties:
total DFT energy (no corrections): -48.477 eV for the cell shown



# HfFeBiAu2

HfFeBiAu2 after structural relaxation (PBEsol, Alexandria).

a b c (Å): 5.1058 5.1058 5.4511
angles (deg): 90.00 90.00 90.00
Last column: nearest neighbours and their distance in Å.
Space group P4/mmm (No. 123)
Symmetry-distinct sites (fractional):
Hf 0.0000 0.0000 0.0000  2 Bi 2.73
Fe 0.5000 0.5000 0.0000  4 Hf 3.61, 8 Au 3.73
Bi 0.0000 0.0000 0.5000  4 Au 2.55, 2 Hf 2.73
Au 0.0000 0.5000 0.5000  2 Bi 2.55

Computed properties:
total DFT energy (no corrections): -23.644 eV for the cell shown



# Ca2AsPb

Ca2AsPb after structural relaxation (PBEsol, Alexandria).

a b c (Å): 4.2343 4.2343 6.3015
angles (deg): 90.00 90.00 90.00
Last column: nearest neighbours and their distance in Å.
Space group P4mm (No. 99)
Symmetry-distinct sites (fractional):
Ca 0.0000 0.0000 0.0000  1 Pb 2.96, 4 As 3.09
Ca 0.5000 0.5000 0.3628  2 As 3.05-3.25, 4 Pb 3.17
As 0.5000 0.5000 0.8793  6 Ca 3.05-3.25
Pb 0.0000 0.0000 0.5301  5 Ca 2.96-3.17

Computed properties:
total DFT energy (no corrections): -15.081 eV for the cell shown
excess energy over the best structure of this formula in the dataset: 0.234 eV per atom



# Sr2Tl

Sr2Tl after structural relaxation (PBEsol, Alexandria).

a b c (Å): 5.6843 5.6843 3.8295
angles (deg): 90.00 90.00 90.00
Last column: nearest neighbours and their distance in Å.
Space group P4/mmm (No. 123)
Symmetry-distinct sites (fractional):
Sr 0.0000 0.5000 0.0000  4 Tl 3.43, 2 Sr 3.83
Tl 0.0000 0.0000 0.5000  8 Sr 3.43, 2 Tl 3.83

Computed properties:
total DFT energy (no corrections): -7.059 eV for the cell shown



Number 1: size of the total moment 0.00 μB per cell, energy of formation -0.0091 eV/atom. Number 2: size of the total moment 2.95 μB per cell, energy of formation 1.5911 eV/atom. Number 3: size of the total moment 0.00 μB per cell, energy of formation -0.4273 eV/atom. Number 4: size of the total moment 0.00 μB per cell, energy of formation -0.2495 eV/atom.